! KLiHgAu, relaxed, DFT GGA-PBE; values from VASP
! DFT formation energy, meV per atom: -175
! Electronic total energy, eV for the cell shown: -7.29
! SG: F-43m, No. 216
! Mass density, kg/m3: 6942
&SYSTEM
  ibrav = 0, nat = 4, ntyp = 4
/
ATOMIC_SPECIES
K 39.10 K.upf
Au 196.97 Au.upf
Hg 200.59 Hg.upf
Li 6.94 Li.upf
ATOMIC_POSITIONS angstrom
K 7.971 4.602 3.254
Au 0.000 0.000 0.000
Hg 5.314 3.068 2.169
Li 2.657 1.534 1.085
CELL_PARAMETERS angstrom
5.314 0.000 0.000
2.657 4.602 0.000
2.657 1.534 4.339

! KMgHg2Au, relaxed, DFT GGA-PBE; values from VASP
! DFT formation energy, meV per atom: -131
! Electronic total energy, eV for the cell shown: -7.23
! Energy above the lowest structure with this stoichiometry, eV per atom: 0.011
! SG: P4/mmm, No. 123
! Mass density, kg/m3: 6825
&SYSTEM
  ibrav = 0, nat = 5, ntyp = 4
/
ATOMIC_SPECIES
Mg 24.30 Mg.upf
K 39.10 K.upf
Au 196.97 Au.upf
Hg 200.59 Hg.upf
ATOMIC_POSITIONS angstrom
Mg 0.000 0.000 0.000
K 2.767 2.767 2.627
Au 0.000 0.000 2.627
Hg 0.000 2.767 0.000
Hg 2.767 0.000 0.000
CELL_PARAMETERS angstrom
5.535 0.000 0.000
0.000 5.535 0.000
0.000 0.000 5.254

! KMgHg2Au, relaxed, DFT GGA-PBE; values from VASP
! DFT formation energy, meV per atom: -142
! Electronic total energy, eV for the cell shown: -7.28
! Energy above the lowest structure with this stoichiometry, eV per atom: 0.000
! SG: P4/mmm, No. 123
! Mass density, kg/m3: 7070
&SYSTEM
  ibrav = 0, nat = 5, ntyp = 4
/
ATOMIC_SPECIES
Mg 24.30 Mg.upf
K 39.10 K.upf
Au 196.97 Au.upf
Hg 200.59 Hg.upf
ATOMIC_POSITIONS angstrom
Mg -1.447 -1.251 1.756
K -0.061 -4.632 0.488
Au 0.000 0.000 0.000
Hg 2.142 -1.576 0.642
Hg -0.756 -1.806 -1.910
CELL_PARAMETERS angstrom
-1.512 -3.612 -3.819
4.283 -3.151 1.284
-2.893 -2.501 3.512

! K2NaHg6Au, relaxed, DFT GGA-PBE; values from VASP
! DFT formation energy, meV per atom: -121
! Electronic total energy, eV for the cell shown: -9.81
! SG: Fm-3m, No. 225
! Mass density, kg/m3: 6654
&SYSTEM
  ibrav = 0, nat = 10, ntyp = 4
/
ATOMIC_SPECIES
K 39.10 K.upf
Na 22.99 Na.upf
Hg 200.59 Hg.upf
Au 196.97 Au.upf
ATOMIC_POSITIONS angstrom
K 4.047 8.093 2.861
K 8.093 4.046 2.861
Na 4.047 4.046 0.000
Hg 1.995 6.098 0.000
Hg 6.098 6.097 0.000
Hg 4.047 4.046 2.901
Hg 6.098 1.995 0.000
Hg 1.995 1.995 0.000
Hg 8.093 8.092 2.822
Au 0.000 0.000 0.000
CELL_PARAMETERS angstrom
8.093 0.000 0.000
0.001 8.093 0.000
4.047 4.046 5.722

! KNa2Hg4Au, relaxed, DFT GGA-PBE; values from VASP
! DFT formation energy, meV per atom: -202
! Electronic total energy, eV for the cell shown: -9.84
! SG: R-3m, No. 166
! Mass density, kg/m3: 7980
&SYSTEM
  ibrav = 0, nat = 8, ntyp = 4
/
ATOMIC_SPECIES
K 39.10 K.upf
Na 22.99 Na.upf
Hg 200.59 Hg.upf
Au 196.97 Au.upf
ATOMIC_POSITIONS angstrom
K 0.000 0.000 0.000
Na -2.241 -0.051 10.949
Na -0.734 0.636 4.161
Hg -1.441 2.621 9.378
Hg -2.289 -2.471 9.054
Hg -0.686 3.055 6.055
Hg -1.534 -2.036 5.731
Au -1.487 0.292 7.555
CELL_PARAMETERS angstrom
-3.670 -2.204 2.908
1.325 -3.101 3.926
-0.629 5.890 8.275

! KNaHg2Au, relaxed, DFT GGA-PBE; values from VASP
! DFT formation energy, meV per atom: -189
! Electronic total energy, eV for the cell shown: -7.24
! Energy above the lowest structure with this stoichiometry, eV per atom: 0.075
! SG: P4/mmm, No. 123
! Mass density, kg/m3: 6594
&SYSTEM
  ibrav = 0, nat = 5, ntyp = 4
/
ATOMIC_SPECIES
Na 22.99 Na.upf
K 39.10 K.upf
Au 196.97 Au.upf
Hg 200.59 Hg.upf
ATOMIC_POSITIONS angstrom
Na 1.731 1.494 1.591
K -1.159 2.227 4.047
Au 0.000 0.000 0.000
Hg -0.996 -1.222 2.230
Hg -1.894 1.955 0.225
CELL_PARAMETERS angstrom
-3.788 3.910 0.450
-1.992 -2.443 4.461
3.462 2.989 3.183

The highest electronic total energy belongs to which entry? number 2

Which formula does entry 4 have? K2NaHg6Au

electronic total energy of number 6 (KNaHg2Au)? -7.24 eV for the cell shown